[1]
Material: Mg2ZnPd9
Method: DFT, PBE
State: relaxed

Lattice parameters (Å, degrees): 3.944 3.944 11.887 90.00 90.00 90.00
Space group P4/mmm (No. 123)
Asymmetric unit:
1 Mg 0.000 0.000 0.169
2 Zn 0.000 0.000 0.500
3 Pd 0.000 0.500 0.000
4 Pd 0.000 0.500 0.337
5 Pd 0.500 0.500 0.168
6 Pd 0.500 0.500 0.500

Electronic total energy in eV/atom: -4.67
Formation energy from the elements in eV per atom: -0.41
Size of the total moment in μB/f.u.: 0.0
Theoretical density in g/cm3: 9.6

=====

[2]
Material: LaCr2Ru
Method: DFT, PBE
State: relaxed

Lattice parameters (Å, degrees): 6.598 6.598 6.598 90.00 90.00 90.00
Space group F-43m (No. 216)
Asymmetric unit:
1 La 0.000 0.000 0.000
2 Cr 0.000 0.000 0.500
3 Cr 0.250 0.250 0.250
4 Ru 0.250 0.250 0.750

Electronic total energy in eV/atom: -7.93
Formation energy from the elements in eV per atom: 0.43
Size of the total moment in μB/f.u.: 0.1
Theoretical density in g/cm3: 8.0
Energy relative to the lowest polymorph listed for this composition in meV per atom: 117

=====

[3]
Material: Cd5Pb3Br16
Method: DFT, PBE
State: relaxed

Lattice parameters (Å, degrees): 14.903 8.455 13.070 90.00 91.10 90.00
Space group Cm (No. 8)
Asymmetric unit:
1 Cd 0.000 0.000 0.000
2 Cd 0.012 0.500 0.243
3 Cd 0.088 0.254 0.506
4 Cd 0.343 0.500 0.733
5 Pb 0.256 0.251 0.006
6 Pb 0.343 0.000 0.504
7 Br 0.005 0.000 0.619
8 Br 0.020 0.500 0.627
9 Br 0.081 0.250 0.122
10 Br 0.154 0.000 0.883
11 Br 0.160 0.000 0.394
12 Br 0.160 0.500 0.377
13 Br 0.185 0.500 0.862
14 Br 0.250 0.258 0.626
15 Br 0.344 0.000 0.144
16 Br 0.356 0.500 0.132
17 Br 0.419 0.272 0.866
18 Br 0.439 0.240 0.373

Electronic total energy in eV/atom: -2.62
Size of the total moment in μB/f.u.: 0.0
Formation energy without anion corrections in meV/atom: -851
Theoretical density in g/cm3: 5.0

=====

[4]
Material: NaCa2Pb2
Method: DFT, PBE
State: relaxed

Lattice parameters (Å, degrees): 12.659 4.927 11.675 90.00 117.99 90.00
Space group C2/m (No. 12)
Asymmetric unit:
1 Na 0.211 0.000 0.365
2 Ca 0.007 0.500 0.679
3 Ca 0.174 0.500 0.092
4 Pb 0.036 0.000 0.885
5 Pb 0.132 0.000 0.591

Electronic total energy in eV/atom: -2.90
Formation energy from the elements in eV per atom: -0.35
Size of the total moment in μB/f.u.: 0.0
Theoretical density in g/cm3: 5.3
Energy relative to the lowest polymorph listed for this composition in meV per atom: 50